{
  "formula": "HfMnCl2O",
  "functional": "PBE+U",
  "state": "optimized geometry",
  "lattice_angstrom": [[-2.5923, -3.0178, 1.7146], [3.8321, -0.9263, 4.1635], [-1.9143, 3.0282, 2.4356]],
  "species": ["Mn", "Cl", "Hf", "Cl", "O"],
  "fractional_positions": [[0.0000, 0.0000, 0.0000], [0.5000, 0.0000, 0.0000], [0.0000, 0.5000, 0.0000], [0.0000, 0.0000, 0.5000], [0.5000, 0.5000, 0.5000]],
  "dft_energy_ev_per_atom": -4.9048
}